1.
Density functional theory data (meta-GGA SCAN) for a crystal of KY2Os relaxed with PBEsol.

Lattice parameters (Å, degrees): 3.586 4.149 8.813 90.00 90.00 90.00
Fractional positions:
Y: 0.000 0.000 0.925
Y: 0.500 0.500 0.165
K: 0.000 0.000 0.541
Os: 0.500 0.500 0.868

Summary:
E_form: 0.300 eV/atom
Distance to the lowest polymorph of the same formula: 0 meV/atom
Crystal system: orthorhombic
Space group: Pmm2, No. 25
DOS at the Fermi energy: 0.771 states/eV/atom
Total moment: 0.00 μB/f.u.

=====

2.
Density functional theory data (meta-GGA SCAN) for a crystal of CeHgPd relaxed with PBEsol.

Lattice parameters (Å, degrees): 3.769 7.700 7.700 120.00 90.00 90.00
Site moments in Bohr magnetons follow the coordinates.
Fractional positions:
Ce: 0.500 0.601 0.000  0.79
Ce: 0.500 0.399 0.399  0.79
Ce: 0.500 0.000 0.601  0.79
Pd: 0.500 0.000 0.000  -0.03
Pd: 0.000 0.667 0.333  -0.02
Pd: 0.000 0.333 0.667  -0.02
Hg: 0.000 0.000 0.267  0.02
Hg: 0.000 0.267 0.000  0.02
Hg: 0.000 0.733 0.733  0.02

Summary:
E_form: -0.721 eV/atom
Crystal system: hexagonal
Space group: P-62m, No. 189
DOS at the Fermi energy: 1.257 states/eV/atom
Total moment: 0.95 μB/f.u.